#one
4
Lattice="4.3633 0.0000 0.0000 2.1816 3.7787 0.0000 2.1816 1.2596 3.5626" Properties=species:S:1:pos:R:3 comment="CrReMo2 (meta-GGA SCAN, PBEsol geometry)" vol_a3_per_cell=58.7 space_group=F-43m pbc="T T T"
Re 2.1816 1.2596 0.8907
Mo 0.0000 0.0000 0.0000
Mo 6.5449 3.7787 2.6720
Cr 4.3633 2.5191 1.7813


#two
4
Lattice="-2.1242 -1.8895 1.0885 -0.2128 -1.3326 -2.7287 4.3603 -3.9784 1.6029" Properties=species:S:1:pos:R:3 comment="CrReMo2 (meta-GGA SCAN, PBEsol geometry)" vol_a3_per_cell=56.7 space_group=P4mm pbc="T T T"
Re 2.2132 -2.0194 0.8136
Mo 4.2938 -3.9177 1.5784
Mo -0.0678 -2.6154 -0.4155
Cr 2.1246 -4.6157 0.3904


#three
4
Lattice="-1.3980 0.9554 3.9696 -2.4352 -2.8269 2.1687 1.6264 -2.0733 3.4177" Properties=species:S:1:pos:R:3 comment="CrReMo2 (meta-GGA SCAN, PBEsol geometry)" vol_a3_per_cell=56.8 space_group=Fm-3m pbc="T T T"
Re -1.1034 -1.9724 4.7780
Mo -0.5517 -0.9862 2.3890
Mo -1.6551 -2.9586 7.1669
Cr 0.0000 0.0000 0.0000


Least stable of them? #two.


#one
4
Lattice="2.6569 0.0000 -0.0013 0.0000 4.2888 0.0000 -0.8740 0.0000 4.9883" Properties=species:S:1:pos:R:3 comment="CrReMo2 (meta-GGA SCAN, PBEsol geometry)" vol_a3_per_cell=56.8 space_group=Pm pbc="T T T"
Re 0.8880 0.0000 2.5211
Mo 1.7882 0.0000 4.9512
Mo 1.7896 2.1444 1.2554
Cr -0.0088 2.1444 3.7399


#two
4
Lattice="-1.7368 -0.4874 1.9559 -1.0398 -0.7222 -2.3403 3.2712 -7.8129 0.9576" Properties=species:S:1:pos:R:3 comment="CrReMo2 (meta-GGA SCAN, PBEsol geometry)" vol_a3_per_cell=56.7 space_group=Cmmm pbc="T T T"
Cr -1.3883 -0.6048 -0.1922
Mo 0.7798 -1.8625 0.2283
Mo 2.4914 -5.9504 0.7293
Re 0.2473 -4.5113 0.2866


#three
4
Lattice="3.0506 0.0000 0.0000 0.0000 4.3326 0.0000 -1.5253 -2.1663 4.2937" Properties=species:S:1:pos:R:3 comment="CrReMo2 (meta-GGA SCAN, PBEsol geometry)" vol_a3_per_cell=56.7 space_group=Imm2 pbc="T T T"
Re 1.5253 2.1663 0.0247
Mo 1.5253 2.1663 4.2628
Mo 1.5253 0.0000 2.1295
Cr 0.0000 2.1663 2.1703


Least stable of them? #two.


#one
3
Lattice="-0.3821 1.1037 -2.3706 -4.0196 -1.3987 -0.0034 0.9219 3.8216 1.6306" Properties=species:S:1:pos:R:3 comment="CrReMo (meta-GGA SCAN, PBEsol geometry)" vol_a3_per_cell=41.5 space_group=P3m1 pbc="T T T"
Re -2.4963 0.6994 -0.2277
Mo -0.9832 2.8268 -0.5149
Cr -0.0001 0.0004 -0.0009


#two
3
Lattice="4.1321 0.0000 0.0000 2.0661 3.5785 0.0000 2.0661 1.1928 3.3739" Properties=species:S:1:pos:R:3 comment="CrReMo (meta-GGA SCAN, PBEsol geometry)" vol_a3_per_cell=49.9 space_group=F-43m pbc="T T T"
Cr 0.0000 0.0000 0.0000
Mo 4.1321 2.3857 1.6869
Re 2.0661 1.1928 0.8435


Least stable of them? #two.


#one
4
Lattice="3.7971 0.0000 0.0000 0.0000 3.7971 0.0000 -1.8986 -1.8986 3.7118" Properties=species:S:1:pos:R:3 comment="CrMoRu2 (meta-GGA SCAN, PBEsol geometry)" vol_a3_per_cell=53.5 space_group=I4/mmm pbc="T T T"
Cr 1.8986 1.8986 0.0000
Mo 0.0000 0.0000 0.0000
Ru 1.8986 0.0000 1.8559
Ru 0.0000 1.8986 1.8559


#two
4
Lattice="-1.7547 -1.0055 1.7218 1.7906 -3.6661 -0.3161 3.8534 1.6291 2.9334" Properties=species:S:1:pos:R:3 comment="CrMoRu2 (meta-GGA SCAN, PBEsol geometry)" vol_a3_per_cell=53.8 space_group=P2/m pbc="T T T"
Cr 0.0180 -2.3358 0.7029
Mo 1.9447 -1.5212 2.1696
Ru 2.7362 1.1249 2.4526
Ru -0.6375 -0.5013 2.2027


#three
4
Lattice="2.6739 0.0000 0.0000 1.3370 2.3157 0.0000 1.3370 0.7719 8.7164" Properties=species:S:1:pos:R:3 comment="CrMoRu2 (meta-GGA SCAN, PBEsol geometry)" vol_a3_per_cell=54.0 space_group=R3m pbc="T T T"
Cr 2.6739 1.5438 4.4634
Mo 1.3370 0.7719 2.1767
Ru 4.0109 2.3157 0.0096
Ru 4.0109 2.3157 6.4249


#four
4
Lattice="4.2747 0.0000 0.0000 2.1374 3.7020 0.0000 2.1374 1.2340 3.4903" Properties=species:S:1:pos:R:3 comment="CrMoRu2 (meta-GGA SCAN, PBEsol geometry)" vol_a3_per_cell=55.2 space_group=Fm-3m pbc="T T T"
Cr 0.0000 0.0000 0.0000
Mo 4.2747 2.4680 1.7451
Ru 2.1374 1.2340 0.8726
Ru 6.4121 3.7020 2.6177


Least stable of them? #three.


#one
4
Lattice="3.2693 0.0000 0.0000 0.0000 4.6007 0.0000 0.0000 0.0000 4.6007" Properties=species:S:1:pos:R:3 comment="CrSb2Mo (meta-GGA SCAN, PBEsol geometry)" vol_a3_per_cell=69.2 space_group=P4/mmm pbc="T T T"
Cr 1.6346 2.3003 2.3003
Mo 1.6346 0.0000 0.0000
Sb 0.0000 0.0000 2.3003
Sb 0.0000 2.3003 0.0000


#two
4
Lattice="-4.0432 1.0946 -2.1613 -4.0319 0.0743 2.4404 -2.1252 4.1063 0.9157" Properties=species:S:1:pos:R:3 comment="CrSb2Mo (meta-GGA SCAN, PBEsol geometry)" vol_a3_per_cell=74.0 space_group=F-43m pbc="T T T"
Cr -5.1001 2.6376 0.5974
Mo -2.5501 1.3188 0.2987
Sb 0.0000 0.0000 0.0000
Sb -7.6502 3.9564 0.8961


Least stable of them? #two.


#one
3
Lattice="-0.9094 1.3752 2.4254 2.0110 -1.4435 1.5725 2.5882 3.5301 -2.8041" Properties=species:S:1:pos:R:3 comment="CrMoSe (meta-GGA SCAN, PBEsol geometry)" vol_a3_per_cell=41.0 space_group=I4mm pbc="T T T"
Cr 3.5879 3.3483 1.2199
Mo 1.5930 1.1265 1.7316
Se 2.1987 2.4488 -0.5640


#two
3
Lattice="2.9014 0.0000 0.0000 0.0000 4.0643 0.0000 0.0000 -2.0322 3.5198" Properties=species:S:1:pos:R:3 comment="CrMoSe (meta-GGA SCAN, PBEsol geometry)" vol_a3_per_cell=41.5 space_group=P-6m2 pbc="T T T"
Cr 1.4507 0.0000 0.0000
Mo 0.0000 2.0322 1.1733
Se 1.4507 0.0000 2.3466


Least stable of them? #one.


#one
4
Lattice="2.7230 0.0041 0.0062 -0.8666 4.5596 -0.0129 -0.8666 -1.7694 4.2023" Properties=species:S:1:pos:R:3 comment="CrSi2Mo (meta-GGA SCAN, PBEsol geometry)" vol_a3_per_cell=52.2 space_group=C2/m pbc="T T T"
Cr 1.3615 0.0021 0.0031
Mo 0.4949 1.3972 2.0978
Si -0.4333 2.2798 -0.0064
Si -0.4333 -0.8847 2.1011


#two
4
Lattice="-1.2374 3.9326 0.6850 -2.0871 0.9556 3.4923 1.8424 2.2817 2.9773" Properties=species:S:1:pos:R:3 comment="CrSi2Mo (meta-GGA SCAN, PBEsol geometry)" vol_a3_per_cell=51.6 space_group=Fm-3m pbc="T T T"
Cr -0.7410 3.5850 3.5773
Mo 0.0000 0.0000 0.0000
Si -0.3705 1.7925 1.7886
Si -1.1115 5.3774 5.3659


#three
4
Lattice="-2.2847 1.8133 1.2015 -2.5042 -2.8081 -0.5239 0.8692 -1.5082 3.9291" Properties=species:S:1:pos:R:3 comment="CrSi2Mo (meta-GGA SCAN, PBEsol geometry)" vol_a3_per_cell=51.5 space_group=Pmmm pbc="T T T"
Cr -2.3945 -0.4974 0.3388
Mo -0.8175 -2.1581 1.7026
Si 0.0000 0.0000 0.0000
Si -0.7077 0.1526 2.5653


Least stable of them? #three.


#one
4
Lattice="-1.1494 0.8167 -2.6175 -0.3238 -2.8587 -0.7498 -7.2463 -0.0128 3.1781" Properties=species:S:1:pos:R:3 comment="SrCr2Mo (meta-GGA SCAN, PBEsol geometry)" vol_a3_per_cell=69.9 space_group=P4mm pbc="T T T"
Cr -0.5952 -0.0011 0.2611
Cr -2.4509 -1.0240 -0.9318
Mo -3.0666 -0.0054 1.3450
Sr -6.2300 -1.0307 0.7257


#two
4
Lattice="-2.1478 -1.0939 -2.3032 -1.0454 -2.3696 2.1003 -4.8530 4.3296 2.4692" Properties=species:S:1:pos:R:3 comment="SrCr2Mo (meta-GGA SCAN, PBEsol geometry)" vol_a3_per_cell=77.3 space_group=P4/mmm pbc="T T T"
Cr -4.1544 3.7064 2.1137
Cr -0.6986 0.6233 0.3554
Mo -1.5966 -1.7317 -0.1015
Sr -4.0231 0.4331 1.1331


Least stable of them? #two.


#one
4
Lattice="-2.5029 1.7104 0.0730 -1.7081 -2.5036 0.0977 0.2323 0.0795 6.0992" Properties=species:S:1:pos:R:3 comment="CrTcMo2 (meta-GGA SCAN, PBEsol geometry)" vol_a3_per_cell=56.1 space_group=P4mm pbc="T T T"
Cr -1.9291 -0.3363 4.7157
Mo 0.2283 0.0781 5.9943
Mo -2.0462 -0.3763 1.6416
Tc 0.1168 0.0400 3.0670


#two
4
Lattice="2.6538 0.0000 -0.0011 0.0000 4.2720 0.0000 -0.8879 0.0000 4.9556" Properties=species:S:1:pos:R:3 comment="CrTcMo2 (meta-GGA SCAN, PBEsol geometry)" vol_a3_per_cell=56.2 space_group=Pm pbc="T T T"
Cr -0.0324 2.1360 3.7212
Mo 1.7715 0.0000 4.9095
Mo 1.7869 2.1360 1.2546
Tc 0.8887 0.0000 2.5008


#three
4
Lattice="-0.7821 -2.9206 0.0220 0.9149 -0.2233 2.8731 -5.6039 1.5150 1.9022" Properties=species:S:1:pos:R:3 comment="CrTcMo2 (meta-GGA SCAN, PBEsol geometry)" vol_a3_per_cell=55.8 space_group=P4/mmm pbc="T T T"
Cr -2.7356 -0.8145 2.3987
Mo -4.1264 1.1155 1.4007
Mo -1.4775 0.3994 0.5015
Tc 0.0664 -1.5720 1.4476


#four
4
Lattice="-1.2806 -1.2996 2.4392 0.0069 -3.7802 -2.0105 3.9044 -0.8439 1.6002" Properties=species:S:1:pos:R:3 comment="CrTcMo2 (meta-GGA SCAN, PBEsol geometry)" vol_a3_per_cell=56.1 space_group=Pmmm pbc="T T T"
Cr 1.9557 -2.3121 -0.2051
Mo 0.0000 0.0000 0.0000
Mo 1.3119 -1.0718 2.0197
Tc -0.6368 -2.5399 0.2144


Least stable of them? #two.


#one
4
Lattice="-1.3828 -2.8580 -2.8931 -3.0402 -2.8397 1.0696 -3.9486 0.3560 -1.6532" Properties=species:S:1:pos:R:3 comment="CrTcMo2 (meta-GGA SCAN, PBEsol geometry)" vol_a3_per_cell=56.0 space_group=F-43m pbc="T T T"
Cr -4.1858 -2.6708 -1.7384
Mo 0.0000 0.0000 0.0000
Mo -6.2787 -4.0063 -2.6075
Tc -2.0929 -1.3354 -0.8692


#two
4
Lattice="-1.7766 1.2491 -1.5260 -2.8392 -0.1559 3.1777 2.2379 3.9504 2.1933" Properties=species:S:1:pos:R:3 comment="CrTcMo2 (meta-GGA SCAN, PBEsol geometry)" vol_a3_per_cell=56.2 space_group=P2/m pbc="T T T"
Cr -0.3006 1.8972 2.6855
Mo 0.3258 3.8853 0.4817
Mo 0.1355 1.3141 0.1856
Tc -2.3079 0.5466 0.8258


#three
4
Lattice="3.0373 0.0000 0.0000 0.0000 4.3075 0.0000 -1.5186 -2.1537 4.2889" Properties=species:S:1:pos:R:3 comment="CrTcMo2 (meta-GGA SCAN, PBEsol geometry)" vol_a3_per_cell=56.1 space_group=Imm2 pbc="T T T"
Cr 0.0000 2.1537 2.1902
Mo 1.5186 2.1537 4.2508
Mo 1.5186 0.0000 2.1164
Tc 1.5186 2.1537 0.0205


Least stable of them? #two.


#one
4
Lattice="-3.9717 0.0509 1.6354 -2.7287 -3.1971 -0.8859 -1.0958 -2.8005 3.0673" Properties=species:S:1:pos:R:3 comment="CrTcMo2 (meta-GGA SCAN, PBEsol geometry)" vol_a3_per_cell=56.0 space_group=Fm-3m pbc="T T T"
Cr 0.0000 0.0000 0.0000
Mo -1.9491 -1.4867 0.9542
Mo -5.8472 -4.4600 2.8626
Tc -3.8981 -2.9733 1.9084


#two
4
Lattice="-1.6159 -1.8288 -1.0505 3.6555 0.0294 -3.4344 1.0537 -2.1706 4.3974" Properties=species:S:1:pos:R:3 comment="CrTcMo2 (meta-GGA SCAN, PBEsol geometry)" vol_a3_per_cell=56.2 space_group=C2/m pbc="T T T"
Cr -0.8079 -0.9144 -0.5253
Mo 0.5268 -1.0853 2.1987
Mo 1.8278 0.0147 -1.7172
Tc 1.5466 -1.9850 -0.0438


Least stable of them? #two.